1.
The following is a PBE calculation of a relaxed Be2CrSi crystal, from Alexandria via LeMat-Bulk.

Computed properties:
density of states at the Fermi level: 4.2 states/eV per cell
ΔE_f (raw): 0.44 eV/f.u.

abc: 4.7242 7.0195 2.5043
angles: 90.00 90.00 90.00
Space group Cmmm (No. 65)
Symmetry-distinct sites (fractional):
Be1 0.2500 0.2500 0.0000 [4 per cell]
Cr1 0.0000 0.0000 0.5000 [2 per cell]
Si1 0.0000 0.5000 0.5000 [2 per cell]

***

2.
The following is a PBE calculation of a relaxed Na2LiReO4 crystal, from Alexandria via LeMat-Bulk.

Computed properties:
density of states at the Fermi level: 0.0 states/eV per cell
ΔE_f (raw): -13.32 eV/f.u.

abc: 5.6192 5.6192 6.8574
angles: 90.00 90.00 90.00
Space group I-4 (No. 82)
Symmetry-distinct sites (fractional):
Na1 0.0000 0.0000 0.0000 [2 per cell]
Na2 0.0000 0.5000 0.2500 [2 per cell]
Li1 0.0000 0.0000 0.5000 [2 per cell]
Re1 0.0000 0.5000 0.7500 [2 per cell]
O1 0.1647 0.2325 0.6762 [8 per cell]

***

3.
The following is a PBE calculation of a relaxed In2Pd2Au15 crystal, from Alexandria via LeMat-Bulk.

Computed properties:
DFT formation energy: 33.0 meV/atom
density of states at the Fermi level: 19.5 states/eV per cell

abc: 9.6378 9.6378 14.1390
angles: 90.00 90.00 120.00
Space group R-3m (No. 166, hexagonal axes)
Symmetry-distinct sites (fractional):
In1 0.0000 0.0000 0.1995 [6 per cell]
Pd1 0.0000 0.0000 0.4007 [6 per cell]
Au1 0.0000 0.3149 0.5000 [18 per cell]
Au2 0.0000 0.5000 0.0000 [9 per cell]
Au3 0.0035 0.5017 0.6588 [18 per cell]

***

V, record by record: 10.38; 13.53; 19.95 Å³/atom